# 1
Compound: NpPaTc2
Source: Alexandria via LeMat-Bulk
Functional: PBE-GGA
Structure: relaxed

a = 3.401 Å, b = 4.811 Å, c = 4.811 Å
α = 90.00°, β = 90.00°, γ = 90.00°
Site moments in Bohr magnetons follow the coordinates.
Fractional positions:
Tc 0.000 0.500 0.000  -0.33
Tc 0.000 0.000 0.500  -0.33
Pa 0.500 0.500 0.500  0.33
Np 0.500 0.000 0.000  3.24

- E above lowest polymorph: 10 meV/atom
- Calculated density: 14.01 Mg/m³
- Density of states at the Fermi level: 1.399 states/eV per atom
- Size of the total moment: 3.13 μB per formula unit
- E: -43.1 eV for the cell shown

# 2
Compound: Y2Al2InPd5
Source: Alexandria via LeMat-Bulk
Functional: PBE-GGA
Structure: relaxed

a = 3.720 Å, b = 9.995 Å, c = 9.995 Å
α = 90.00°, β = 90.00°, γ = 90.00°
Fractional positions:
Pd 0.500 0.500 0.000
Pd 0.500 0.786 0.935
Pd 0.500 0.714 0.435
Pd 0.500 0.286 0.565
Pd 0.500 0.065 0.786
Pd 0.500 0.000 0.500
Pd 0.500 0.565 0.714
Pd 0.500 0.435 0.286
Pd 0.500 0.214 0.065
Pd 0.500 0.935 0.214
Y 0.000 0.679 0.179
Y 0.000 0.821 0.679
Y 0.000 0.179 0.321
Y 0.000 0.321 0.821
Al 0.000 0.882 0.382
Al 0.000 0.118 0.618
Al 0.000 0.618 0.882
Al 0.000 0.382 0.118
In 0.000 0.000 0.000
In 0.000 0.500 0.500

- Calculated density: 7.85 Mg/m³
- Density of states at the Fermi level: 0.708 states/eV per atom
- Size of the total moment: 0.00 μB per formula unit
- E: -113.8 eV for the cell shown

- What is the density of states at the Fermi level in the first record?
  1.399 states/eV per atom